Here is an optimized crystal structure of Ag13Hg3 from the Alexandria database. Energies are from PBE.

Output
DFT formation energy = 52 kJ/mol of formula units
Space group = Amm2, No. 38

Cell lengths 8.298, 6.011, 6.011 Å; angles 89.65, 90.00, 90.00 degrees
Positions (direct):
Ag (0.000, 0.000, 0.000)
Ag (0.000, 0.000, 0.509)
Ag (0.000, 0.509, 0.000)
Ag (0.000, 0.511, 0.511)
Ag (0.247, 0.256, 0.754)
Ag (0.247, 0.754, 0.256)
Ag (0.248, 0.751, 0.751)
Ag (0.500, 0.001, 0.504)
Ag (0.500, 0.504, 0.001)
Ag (0.500, 0.508, 0.508)
Ag (0.752, 0.751, 0.751)
Ag (0.753, 0.256, 0.754)
Ag (0.753, 0.754, 0.256)
Hg (0.245, 0.259, 0.259)
Hg (0.500, 0.995, 0.995)
Hg (0.755, 0.259, 0.259)

=====

Here is an optimized crystal structure of LaReMo2 from the Alexandria database. Energies are from PBE.

Output
Energy above the most stable polymorph in this dataset = 456.0 meV per atom
DFT formation energy = 324 kJ/mol of formula units
Space group = I-42d, No. 122

Cell lengths 7.577, 7.577, 5.958 Å; angles 90.00, 90.00, 90.00 degrees
Positions (direct):
La (0.000, 0.000, 0.000)
La (0.000, 0.500, 0.250)
La (0.500, 0.000, 0.750)
La (0.500, 0.500, 0.500)
Re (0.000, 0.000, 0.500)
Re (0.000, 0.500, 0.750)
Re (0.500, 0.000, 0.250)
Re (0.500, 0.500, 0.000)
Mo (0.194, 0.250, 0.625)
Mo (0.250, 0.694, 0.875)
Mo (0.250, 0.806, 0.375)
Mo (0.306, 0.250, 0.125)
Mo (0.694, 0.750, 0.125)
Mo (0.750, 0.194, 0.375)
Mo (0.750, 0.306, 0.875)
Mo (0.806, 0.750, 0.625)

=====

Here is an optimized crystal structure of GdSbPb2 from the Alexandria database. Energies are from PBE.

Output
Energy above the most stable polymorph in this dataset = 0.0 meV per atom
Formation energy from raw total energies = -0.396 eV/atom
Space group = P4/mmm, No. 123

Cell lengths 4.717, 4.717, 5.164 Å; angles 90.00, 90.00, 90.00 degrees
Positions (direct):
Gd (0.000, 0.000, 0.000)
Sb (0.500, 0.500, 0.000)
Pb (0.000, 0.500, 0.500)
Pb (0.500, 0.000, 0.500)

=====

Here is an optimized crystal structure of Ca2ScBr from the Alexandria database. Energies are from PBE.

Output
Energy above the most stable polymorph in this dataset = 32.7 meV per atom
Formation energy from raw total energies = -0.529 eV/atom
Space group = Cmmm, No. 65

Cell lengths 4.121, 5.954, 9.939 Å; angles 90.00, 90.00, 90.00 degrees
Positions (direct):
Ca (0.000, 0.000, 0.233)
Ca (0.000, 0.000, 0.767)
Ca (0.500, 0.500, 0.233)
Ca (0.500, 0.500, 0.767)
Sc (0.000, 0.500, 0.500)
Sc (0.500, 0.000, 0.500)
Br (0.000, 0.500, 0.000)
Br (0.500, 0.000, 0.000)

=====

Here is an optimized crystal structure of MgCoPt2 from the Alexandria database. Energies are from PBE.

Output
DFT formation energy = -159 kJ/mol of formula units
Space group = Pmmm, No. 47

Cell lengths 2.823, 3.693, 5.638 Å; angles 90.00, 90.00, 90.00 degrees
Positions (direct):
Mg (0.000, 0.000, 0.000)
Co (0.000, 0.000, 0.500)
Pt (0.500, 0.500, 0.260)
Pt (0.500, 0.500, 0.740)

=====

Here is an optimized crystal structure of CuTc2Br8 from the Alexandria database. Energies are from PBE.

Output
Formation energy from raw total energies = -0.096 eV/atom
Space group = C2/m, No. 12

Cell lengths 8.020, 8.020, 6.796 Å; angles 92.64, 92.64, 75.99 degrees
Positions (direct):
Cu (0.000, 0.000, 0.000)
Tc (0.207, 0.207, 0.659)
Tc (0.793, 0.793, 0.341)
Br (0.063, 0.711, 0.182)
Br (0.166, 0.166, 0.314)
Br (0.289, 0.937, 0.818)
Br (0.388, 0.388, 0.762)
Br (0.612, 0.612, 0.238)
Br (0.711, 0.063, 0.182)
Br (0.834, 0.834, 0.686)
Br (0.937, 0.289, 0.818)

=====

Here is an optimized crystal structure of Tb2NdY6Tm3 from the Alexandria database. Energies are from PBE.

Output
DFT formation energy = 27 kJ/mol of formula units
Space group = C2/m, No. 12

Cell lengths 6.163, 6.163, 11.791 Å; angles 94.99, 94.99, 119.94 degrees
Positions (direct):
Tb (0.167, 0.833, 0.000)
Tb (0.833, 0.167, 0.000)
Nd (0.500, 0.500, 0.000)
Y (0.081, 0.415, 0.747)
Y (0.251, 0.251, 0.253)
Y (0.415, 0.081, 0.747)
Y (0.585, 0.919, 0.253)
Y (0.749, 0.749, 0.747)
Y (0.919, 0.585, 0.253)
Tm (0.000, 0.000, 0.500)
Tm (0.333, 0.667, 0.500)
Tm (0.667, 0.333, 0.500)

=====

Here is an optimized crystal structure of BiSe2N from the Alexandria database. Energies are from PBE.

Output
Energy above the most stable polymorph in this dataset = 0.0 meV per atom
Formation energy from raw total energies = 0.667 eV/atom
Space group = R-3m, No. 166

Cell lengths 3.939, 3.939, 23.319 Å; angles 90.00, 90.00, 120.00 degrees
Positions (direct):
Bi (0.000, 0.000, 0.000)
Bi (0.333, 0.667, 0.667)
Bi (0.667, 0.333, 0.333)
Se (0.000, 0.000, 0.425)
Se (0.000, 0.000, 0.575)
Se (0.333, 0.667, 0.092)
Se (0.333, 0.667, 0.242)
Se (0.667, 0.333, 0.758)
Se (0.667, 0.333, 0.908)
N (0.000, 0.000, 0.500)
N (0.333, 0.667, 0.167)
N (0.667, 0.333, 0.833)

=====

| no. | DFT total energy (eV/atom) |
| --- | --- |
| 1 | -2.339 |
| 2 | -8.920 |
| 3 | -6.801 |
| 4 | -3.531 |
| 5 | -5.608 |
| 6 | -3.569 |
| 7 | -5.495 |
| 8 | -4.127 |